Entry 1:
An optimized crystal structure of BeRe2Ag. Source: Alexandria, functional GGA-PBE.

Cell lengths 5.124, 8.466, 2.674 Å; angles 90.00, 90.00, 90.00 degrees
Space group Cmmm (No. 65)
Unique sites:
Be 0.000 0.000 0.000
Re 0.250 0.250 0.500
Ag 0.000 0.500 0.000

Calculated values
The size of the total moment comes out at 0.001 μB per formula unit. The value obtained for the formation energy is 0.647 eV/atom.

Entry 2:
An optimized crystal structure of BeRe2Ag. Source: Alexandria, functional GGA-PBE.

Cell lengths 10.667, 2.693, 4.373 Å; angles 90.00, 114.12, 90.00 degrees
Space group C2/m (No. 12)
Unique sites:
Be 0.000 0.000 0.000
Re 0.209 0.500 0.210
Ag 0.000 0.500 0.500

Calculated values
The size of the total moment comes out at 0.000 μB per formula unit. The value obtained for the formation energy is 0.340 eV/atom.

Entry 3:
An optimized crystal structure of Be2ReAg. Source: Alexandria, functional GGA-PBE.

Cell lengths 5.756, 5.756, 5.756 Å; angles 90.00, 90.00, 90.00 degrees
Space group Fm-3m (No. 225)
Unique sites:
Be 0.250 0.250 0.250
Re 0.000 0.000 0.000
Ag 0.000 0.000 0.500

Calculated values
The size of the total moment comes out at 0.000 μB per formula unit. The value obtained for the formation energy is 0.343 eV/atom. For the relative energy among the computed polymorphs, the calculation gives 0.79 eV/f.u.

Entry 4:
An optimized crystal structure of BeRe2Ag. Source: Alexandria, functional GGA-PBE.

Cell lengths 5.180, 8.908, 2.642 Å; angles 90.00, 107.19, 90.00 degrees
Space group C2/m (No. 12)
Unique sites:
Be 0.000 0.000 0.000
Re 0.250 0.250 0.500
Ag 0.000 0.500 0.000

Calculated values
The size of the total moment comes out at 0.000 μB per formula unit. The value obtained for the formation energy is 0.579 eV/atom.

Entry 5:
An optimized crystal structure of Be3ReAg. Source: Alexandria, functional GGA-PBE.

Cell lengths 4.256, 4.256, 4.256 Å; angles 90.00, 90.00, 90.00 degrees
Space group Pm-3m (No. 221)
Unique sites:
Be 0.000 0.000 0.500
Re 0.000 0.000 0.000
Ag 0.500 0.500 0.500

Calculated values
The size of the total moment comes out at 0.000 μB per formula unit. The value obtained for the formation energy is 1.091 eV/atom. For the relative energy among the computed polymorphs, the calculation gives 0.00 eV/f.u.

Entry 6:
An optimized crystal structure of BeRe2Ag. Source: Alexandria, functional GGA-PBE.

Cell lengths 3.663, 3.663, 4.307 Å; angles 90.00, 90.00, 90.00 degrees
Space group P4/mmm (No. 123)
Unique sites:
Be 0.000 0.000 0.000
Re 0.000 0.500 0.500
Ag 0.500 0.500 0.000

Calculated values
The size of the total moment comes out at 0.000 μB per formula unit. The value obtained for the formation energy is 0.603 eV/atom.

Entry 7:
An optimized crystal structure of Be2ReAg. Source: Alexandria, functional GGA-PBE.

Cell lengths 9.022, 2.606, 4.373 Å; angles 90.00, 106.68, 90.00 degrees
Space group Cm (No. 8)
Unique sites:
Be 0.000 0.000 0.000
Be 0.215 0.500 0.346
Re 0.469 0.000 0.471
Ag 0.247 0.000 0.862

Calculated values
The size of the total moment comes out at 0.000 μB per formula unit. The value obtained for the formation energy is 0.203 eV/atom. For the relative energy among the computed polymorphs, the calculation gives 0.24 eV/f.u.

Entry 8:
An optimized crystal structure of Be3ReAg. Source: Alexandria, functional GGA-PBE.

Cell lengths 4.105, 4.105, 4.105 Å; angles 90.00, 90.00, 90.00 degrees
Space group Pm-3m (No. 221)
Unique sites:
Be 0.000 0.000 0.500
Re 0.500 0.500 0.500
Ag 0.000 0.000 0.000

Calculated values
The size of the total moment comes out at 1.413 μB per formula unit. The value obtained for the formation energy is 1.350 eV/atom. For the relative energy among the computed polymorphs, the calculation gives 1.30 eV/f.u.

Entry 9:
An optimized crystal structure of BeRe2Ag. Source: Alexandria, functional GGA-PBE.

Cell lengths 2.903, 2.903, 6.789 Å; angles 90.00, 90.00, 90.00 degrees
Space group P4mm (No. 99)
Unique sites:
Be 0.000 0.000 0.000
Re 0.000 0.000 0.437
Re 0.500 0.500 0.203
Ag 0.500 0.500 0.762

Calculated values
The size of the total moment comes out at 0.000 μB per formula unit. The value obtained for the formation energy is 0.228 eV/atom.

Entry 10:
An optimized crystal structure of BeRe2Ag. Source: Alexandria, functional GGA-PBE.

Cell lengths 2.775, 3.796, 5.596 Å; angles 90.00, 90.00, 90.00 degrees
Space group Pmm2 (No. 25)
Unique sites:
Be 0.000 0.000 0.000
Re 0.000 0.000 0.444
Re 0.500 0.500 0.246
Ag 0.500 0.500 0.766

Calculated values
The size of the total moment comes out at 0.000 μB per formula unit. The value obtained for the formation energy is 0.387 eV/atom.

Entry 11:
An optimized crystal structure of BeRe2Ag. Source: Alexandria, functional GGA-PBE.

Cell lengths 2.960, 4.428, 8.323 Å; angles 90.00, 90.00, 90.00 degrees
Space group Imm2 (No. 44)
Unique sites:
Be 0.000 0.000 0.000
Re 0.000 0.000 0.499
Re 0.000 0.500 0.720
Ag 0.000 0.500 0.284

Calculated values
The size of the total moment comes out at 0.000 μB per formula unit. The value obtained for the formation energy is 0.432 eV/atom.

Entry 12:
An optimized crystal structure of BeRe2Ag. Source: Alexandria, functional GGA-PBE.

Cell lengths 8.786, 2.736, 4.903 Å; angles 90.00, 98.57, 90.00 degrees
Space group Cm (No. 8)
Unique sites:
Be 0.000 0.000 0.000
Re 0.013 0.500 0.538
Re 0.266 0.000 0.731
Ag 0.255 0.500 0.214

Calculated values
The size of the total moment comes out at 0.000 μB per formula unit. The value obtained for the formation energy is 0.442 eV/atom.

Entry 13:
An optimized crystal structure of Be2ReAg. Source: Alexandria, functional GGA-PBE.

Cell lengths 2.749, 4.730, 7.980 Å; angles 90.00, 90.00, 90.00 degrees
Space group Immm (No. 71)
Unique sites:
Be 0.000 0.000 0.248
Re 0.000 0.500 0.000
Ag 0.000 0.500 0.500

Calculated values
The size of the total moment comes out at 0.000 μB per formula unit. The value obtained for the formation energy is 0.506 eV/atom. For the relative energy among the computed polymorphs, the calculation gives 1.45 eV/f.u.

Entry 14:
An optimized crystal structure of Be2ReAg. Source: Alexandria, functional GGA-PBE.

Cell lengths 2.6943, 2.6943, 25.0561 Å; angles 90.00, 90.00, 120.00 degrees
Space group R3m (No. 160, hexagonal axes)
Unique sites:
Be 0.0000 0.0000 0.0000
Be 0.0000 0.0000 0.2617
Re 0.0000 0.0000 0.5175
Ag 0.0000 0.0000 0.7493

Calculated values
The size of the total moment comes out at 0.000 μB per formula unit. The value obtained for the formation energy is 0.406 eV/atom. For the relative energy among the computed polymorphs, the calculation gives 1.05 eV/f.u.

Entry 15:
An optimized crystal structure of Be2ReAg. Source: Alexandria, functional GGA-PBE.

Cell lengths 7.990, 2.605, 5.129 Å; angles 90.00, 99.08, 90.00 degrees
Space group C2/m (No. 12)
Unique sites:
Be 0.250 0.000 0.191
Re 0.000 0.500 0.000
Ag 0.000 0.000 0.500

Calculated values
The size of the total moment comes out at 0.000 μB per formula unit. The value obtained for the formation energy is 0.320 eV/atom. For the relative energy among the computed polymorphs, the calculation gives 0.70 eV/f.u.

Entry 16:
An optimized crystal structure of BeRe2Ag. Source: Alexandria, functional GGA-PBE.

Cell lengths 4.006, 4.006, 7.111 Å; angles 90.00, 90.00, 90.00 degrees
Space group I-4m2 (No. 119)
Unique sites:
Be 0.000 0.000 0.000
Re 0.000 0.000 0.500
Re 0.000 0.500 0.750
Ag 0.000 0.500 0.250

Calculated values
The size of the total moment comes out at 0.000 μB per formula unit. The value obtained for the formation energy is 0.498 eV/atom.

Entry 17:
An optimized crystal structure of BeRe2Ag. Source: Alexandria, functional GGA-PBE.

Cell lengths 3.134, 4.215, 8.602 Å; angles 90.00, 90.00, 90.00 degrees
Space group Cmmm (No. 65)
Unique sites:
Be 0.000 0.000 0.000
Re 0.000 0.500 0.215
Ag 0.000 0.000 0.500

Calculated values
The size of the total moment comes out at 0.000 μB per formula unit. The value obtained for the formation energy is 0.425 eV/atom.

Entry 18:
An optimized crystal structure of BeRe2Ag. Source: Alexandria, functional GGA-PBE.

Cell lengths 2.777, 3.937, 5.478 Å; angles 90.00, 103.90, 90.00 degrees
Space group Pm (No. 6)
Unique sites:
Be 0.000 0.000 0.000
Re 0.314 0.000 0.443
Re 0.626 0.500 0.229
Ag 0.954 0.500 0.757

Calculated values
The size of the total moment comes out at 0.000 μB per formula unit. The value obtained for the formation energy is 0.375 eV/atom.

Entry 19:
An optimized crystal structure of BeRe2Ag. Source: Alexandria, functional GGA-PBE.

Cell lengths 2.7263, 2.7263, 26.8074 Å; angles 90.00, 90.00, 120.00 degrees
Space group R-3m (No. 166, hexagonal axes)
Unique sites:
Be 0.0000 0.0000 0.0000
Re 0.0000 0.0000 0.2591
Ag 0.0000 0.0000 0.5000

Calculated values
The size of the total moment comes out at 0.003 μB per formula unit. The value obtained for the formation energy is 0.461 eV/atom.

Entry 20:
An optimized crystal structure of BeRe2Ag. Source: Alexandria, functional GGA-PBE.

Cell lengths 3.661, 3.661, 18.778 Å; angles 90.00, 90.00, 90.00 degrees
Space group I-42d (No. 122)
Unique sites:
Be 0.000 0.000 0.000
Re 0.214 0.250 0.125
Ag 0.000 0.000 0.500

Calculated values
The size of the total moment comes out at 0.000 μB per formula unit. The value obtained for the formation energy is 0.833 eV/atom.